First-principles (PBE-GGA) data for a relaxed structure of CrNiBiB2, as listed in the Alexandria database.

DFT total energy, eV per atom: -5.54
Formation energy from the elements, meV per atom: 991

Unit cell a=3.8444 b=3.8444 c=5.6131 alpha=90.00 beta=90.00 gamma=90.00
With the nearest neighbours (Å) after each atom.
Fractional coordinates of all 5 atoms:
Cr 0.0000 0.0000 0.0000  4 Bi 2.72
Ni 0.5000 0.5000 0.5000  4 B 1.92
Bi 0.5000 0.5000 0.0000  4 Cr 2.72, 2 Ni 2.81
B 0.0000 0.5000 0.5000  2 Ni 1.92
B 0.5000 0.0000 0.5000  2 Ni 1.92